i:
This record from the Alexandria database describes a relaxed structure of BaHfGa. The functional is PBE.

Cell and atoms, written as CIF:
```
data_BaHfGa
_chemical_formula_sum 'Ba2 Hf2 Ga2'
_cell_length_a 3.420
_cell_length_b 4.132
_cell_length_c 12.366
_cell_angle_alpha 90.00
_cell_angle_beta 90.00
_cell_angle_gamma 90.00
_symmetry_space_group_name_H-M 'I m m 2'
_symmetry_Int_Tables_number 44
_symmetry_space_group_name_Hall 'I 2 -2'
loop_
_atom_site_label
_atom_site_type_symbol
_atom_site_fract_x
_atom_site_fract_y
_atom_site_fract_z
_atom_site_occupancy
Ba1 Ba 0.000 0.000 0.000 1
Hf1 Hf 0.000 0.000 0.272 1
Ga1 Ga 0.000 0.000 0.705 1
```

Output
* total moment: 0.0 μB/f.u.
* V: 29.13 Å³ per atom

=====

ii:
This record from the Alexandria database describes a relaxed structure of BaHfGa. The functional is PBE.

Cell and atoms, written as CIF:
```
data_BaHfGa
_chemical_formula_sum 'Ba4 Hf4 Ga4'
_cell_length_a 5.339
_cell_length_b 12.514
_cell_length_c 5.284
_cell_angle_alpha 90.00
_cell_angle_beta 98.20
_cell_angle_gamma 90.00
_symmetry_space_group_name_H-M 'C 1 2 1'
_symmetry_Int_Tables_number 5
_symmetry_space_group_name_Hall 'C 2y'
loop_
_atom_site_label
_atom_site_type_symbol
_atom_site_fract_x
_atom_site_fract_y
_atom_site_fract_z
_atom_site_occupancy
Ba1 Ba 0.232 0.000 0.259 1
Hf1 Hf 0.194 0.725 0.292 1
Ga1 Ga 0.189 0.291 0.196 1
```

Output
* total moment: 0.7 μB/f.u.
* V: 29.12 Å³ per atom

=====

Which structure wins on stability? ii wins.

=====

i:
This record from the Alexandria database describes a relaxed structure of Sc2MnCl. The functional is PBE.

Cell and atoms, written as CIF:
```
data_Sc2MnCl
_chemical_formula_sum 'Sc4 Mn2 Cl2'
_cell_length_a 4.395
_cell_length_b 4.395
_cell_length_c 8.072
_cell_angle_alpha 90.00
_cell_angle_beta 90.00
_cell_angle_gamma 90.00
_symmetry_space_group_name_H-M 'I 4/m m m'
_symmetry_Int_Tables_number 139
_symmetry_space_group_name_Hall '-I 4 2'
loop_
_atom_site_label
_atom_site_type_symbol
_atom_site_fract_x
_atom_site_fract_y
_atom_site_fract_z
_atom_site_occupancy
Sc1 Sc 0.000 0.500 0.250 1
Mn1 Mn 0.000 0.000 0.000 1
Cl1 Cl 0.000 0.000 0.500 1
```

Output
* total moment: 2.1 μB/f.u.
* V: 19.49 Å³ per atom

=====

ii:
This record from the Alexandria database describes a relaxed structure of Sc2MnCl. The functional is PBE.

Cell and atoms, written as CIF:
```
data_Sc2MnCl
_chemical_formula_sum 'Sc2 Mn1 Cl1'
_cell_length_a 3.151
_cell_length_b 3.151
_cell_length_c 9.216
_cell_angle_alpha 90.00
_cell_angle_beta 90.00
_cell_angle_gamma 90.00
_symmetry_space_group_name_H-M 'P 4 m m'
_symmetry_Int_Tables_number 99
_symmetry_space_group_name_Hall 'P 4 -2'
loop_
_atom_site_label
_atom_site_type_symbol
_atom_site_fract_x
_atom_site_fract_y
_atom_site_fract_z
_atom_site_occupancy
Sc1 Sc 0.000 0.000 0.000 1
Sc2 Sc 0.500 0.500 0.279 1
Mn1 Mn 0.500 0.500 0.803 1
Cl1 Cl 0.000 0.000 0.446 1
```

Output
* total moment: 3.8 μB/f.u.
* V: 22.88 Å³ per atom

=====

Which structure wins on stability? ii wins.